DFT (PBE-GGA) results for a geometry-optimized Na8HfTe6 structure.

abc: 9.2679 8.8561 12.8485
angles: 90.00 90.00 90.00
Closest atoms and distances in Å follow each position.
Element x y z (fractional)
Te 0.2775 0.5000 0.5161  7 Na 3.10-3.34
Te 0.7225 0.0000 0.0161  7 Na 3.10-3.34
Te 0.2599 0.7504 0.1165  1 Hf 2.73
Te 0.7401 0.2504 0.6165  1 Hf 2.73
Te 0.5096 0.0000 0.3706  1 Hf 2.71, 1 Na 3.00
Te 0.7401 0.7496 0.6165  1 Hf 2.73
Te 0.9876 0.0000 0.3619  1 Hf 2.78, 1 Na 3.11
Te 0.0124 0.5000 0.8619  1 Hf 2.78, 1 Na 3.11
Te 0.2599 0.2496 0.1165  1 Hf 2.73
Te 0.4904 0.5000 0.8706  1 Hf 2.71, 1 Na 3.00
Te 0.1941 0.0000 0.7435  6 Na 3.03-3.25
Te 0.8059 0.5000 0.2435  6 Na 3.03-3.25
Na 0.4219 0.2700 0.6940  4 Te 3.11-3.34, 1 Na 3.38
Na 0.8741 0.1814 0.8403  3 Te 3.11-3.19, 2 Na 3.21-3.28
Na 0.0660 0.3010 0.6426  4 Te 3.07-3.36, 2 Na 3.28-3.38
Na 0.2516 0.0000 0.5110  3 Te 3.00-3.11
Na 0.7484 0.5000 0.0110  3 Te 3.00-3.11
Na 0.9340 0.8010 0.1426  4 Te 3.07-3.36, 2 Na 3.28-3.38
Na 0.5781 0.7700 0.1940  4 Te 3.11-3.34, 1 Na 3.38
Na 0.1259 0.6814 0.3403  3 Te 3.11-3.19, 2 Na 3.21-3.28
Na 0.0660 0.6990 0.6426  4 Te 3.07-3.36, 2 Na 3.28-3.38
Na 0.4219 0.7300 0.6940  4 Te 3.11-3.34, 1 Na 3.38
Na 0.8741 0.8186 0.8403  3 Te 3.11-3.19, 2 Na 3.21-3.28
Na 0.1259 0.3186 0.3403  3 Te 3.11-3.19, 2 Na 3.21-3.28
Na 0.9340 0.1990 0.1426  4 Te 3.07-3.36, 2 Na 3.28-3.38
Na 0.6216 0.5000 0.4541  4 Te 3.20-3.29
Na 0.3784 0.0000 0.9541  4 Te 3.20-3.29
Na 0.5781 0.2300 0.1940  4 Te 3.11-3.34, 1 Na 3.38
Hf 0.7488 0.0000 0.4923  4 Te 2.71-2.78
Hf 0.2512 0.5000 0.9923  4 Te 2.71-2.78

E_form (uncorrected)	-835.5	meV per atom
VASP energy	-3.459	eV/atom
space group	Pmn2_1, No. 31
magnetization	0.00	μB/atom
crystal system	orthorhombic

DFT (PBE-GGA) results for a geometry-optimized SrLaHg2Pd structure.

abc: 5.7796 6.8181 5.7796
angles: 90.00 90.00 90.00
Closest atoms and distances in Å follow each position.
Element x y z (fractional)
Pd 0.5000 0.5000 0.5000  4 Sr 4.09, 8 Hg 4.47
Hg 0.5000 0.0000 0.0000  2 La 2.89
Hg 0.0000 0.0000 0.5000  2 La 2.89
Sr 0.0000 0.5000 0.0000  2 La 3.41
La 0.0000 0.0000 0.0000  4 Hg 2.89

VASP energy	-1.675	eV/atom
space group	P4/mmm, No. 123
magnetization	0.00	μB/atom
crystal system	tetragonal

DFT (PBE-GGA) results for a geometry-optimized CeSc5Cd4 structure.

abc: 3.4951 3.4951 18.7566
angles: 90.00 90.00 90.00
Closest atoms and distances in Å follow each position.
Element x y z (fractional)
Sc 0.5000 0.5000 0.1153  4 Cd 3.06, 4 Ce 3.28
Sc 0.5000 0.5000 0.6912  8 Cd 3.05-3.07
Sc 0.5000 0.5000 0.5000  8 Cd 3.06
Sc 0.5000 0.5000 0.8847  4 Cd 3.06, 4 Ce 3.28
Sc 0.5000 0.5000 0.3088  8 Cd 3.05-3.07
Cd 0.0000 0.0000 0.5958  8 Sc 3.05-3.06
Cd 0.0000 0.0000 0.4042  8 Sc 3.05-3.06
Cd 0.0000 0.0000 0.2114  8 Sc 3.06-3.07
Cd 0.0000 0.0000 0.7886  8 Sc 3.06-3.07
Ce 0.0000 0.0000 0.0000  8 Sc 3.28, 4 Ce 3.50

VASP energy	-4.339	eV/atom
space group	P4/mmm, No. 123
magnetization	0.02	μB/atom
crystal system	tetragonal

DFT (PBE-GGA) results for a geometry-optimized BaLiHg2 structure.

abc: 4.8734 4.8734 6.5205
angles: 68.14 68.14 59.81
Closest atoms and distances in Å follow each position.
Element x y z (fractional)
Li 0.5646 0.5646 0.3054  6 Hg 2.82-3.02
Ba 0.7577 0.7577 0.7282  4 Li 3.40-3.76, 7 Hg 3.57-3.65
Hg 0.9591 0.9591 0.1225  3 Li 3.01-3.02, 3 Hg 3.10
Hg 0.2186 0.2186 0.3438  3 Li 2.82-2.83, 3 Hg 3.10

VASP energy	-1.492	eV/atom
space group	Cm, No. 8
magnetization	0.00	μB/atom
crystal system	monoclinic

DFT (PBE-GGA) results for a geometry-optimized Pr2Ga2Cu15 structure.

abc: 6.5769 6.5769 6.5769
angles: 82.99 82.99 82.99
Closest atoms and distances in Å follow each position.
Element x y z (fractional)
Cu 0.2978 0.7022 0.0000  8 Cu 2.50-2.63
Cu 0.7022 0.0000 0.2978  8 Cu 2.50-2.63
Cu 0.0000 0.0000 0.5000  8 Cu 2.50-2.51, 2 Ga 2.65
Cu 0.6549 0.1524 0.6549  8 Cu 2.51-2.63, 1 Ga 2.69
Cu 0.7022 0.2978 0.0000  8 Cu 2.50-2.63
Cu 0.3451 0.8476 0.3451  8 Cu 2.51-2.63, 1 Ga 2.69
Cu 0.5000 0.0000 0.0000  8 Cu 2.50-2.51, 2 Ga 2.65
Cu 0.0000 0.5000 0.0000  8 Cu 2.50-2.51, 2 Ga 2.65
Cu 0.8476 0.3451 0.3451  8 Cu 2.51-2.63, 1 Ga 2.69
Cu 0.6549 0.6549 0.1524  8 Cu 2.51-2.63, 1 Ga 2.69
Cu 0.0000 0.2978 0.7022  8 Cu 2.50-2.63
Cu 0.2978 0.0000 0.7022  8 Cu 2.50-2.63
Cu 0.3451 0.3451 0.8476  8 Cu 2.51-2.63, 1 Ga 2.69
Cu 0.0000 0.7022 0.2978  8 Cu 2.50-2.63
Cu 0.1524 0.6549 0.6549  8 Cu 2.51-2.63, 1 Ga 2.69
Pr 0.6514 0.6514 0.6514  18 Cu 3.08-3.42, 1 Ga 3.13
Pr 0.3486 0.3486 0.3486  18 Cu 3.08-3.42, 1 Ga 3.13
Ga 0.8977 0.8977 0.8977  1 Ga 2.60, 12 Cu 2.65-2.90
Ga 0.1023 0.1023 0.1023  1 Ga 2.60, 12 Cu 2.65-2.90

VASP energy	-4.188	eV/atom
space group	R-3m, No. 166
magnetization	0.00	μB/atom
crystal system	trigonal

DFT (PBE-GGA) results for a geometry-optimized Rb2LaTlF6 structure.

abc: 7.0484 7.0484 7.0491
angles: 60.00 60.00 90.00
Closest atoms and distances in Å follow each position.
Element x y z (fractional)
La 0.5000 0.5000 0.0000  6 F 2.31
F 0.2678 0.2678 0.0000  1 La 2.31
F 0.2678 0.2678 0.4643  1 La 2.31
F 0.7322 0.7322 0.5357  1 La 2.31
F 0.7322 0.2678 0.0000  1 La 2.31
F 0.7322 0.7322 0.0000  1 La 2.31
F 0.2678 0.7322 0.0000  1 La 2.31
Rb 0.7500 0.2500 0.5000  12 F 3.53
Rb 0.2500 0.7500 0.5000  12 F 3.53
Tl 0.0000 0.0000 0.0000  6 F 2.67

E_form (uncorrected)	-3040.8	meV per atom
VASP energy	-5.086	eV/atom
space group	Fm-3m, No. 225
magnetization	0.00	μB/atom
crystal system	cubic

DFT (PBE-GGA) results for a geometry-optimized CoAg2Sb structure.

abc: 7.7447 7.7447 6.0560
angles: 50.25 50.25 90.00
Closest atoms and distances in Å follow each position.
Element x y z (fractional)
Ag 0.8750 0.8372 0.7500  2 Co 2.62, 2 Ag 2.65
Ag 0.3750 0.4128 0.7500  2 Co 2.62, 2 Ag 2.65
Ag 0.1628 0.6250 0.2500  2 Co 2.62, 2 Ag 2.65
Ag 0.5872 0.1250 0.2500  2 Co 2.62, 2 Ag 2.65
Sb 0.7500 0.2500 0.5000  2 Co 2.59
Sb 0.0000 0.0000 0.0000  2 Co 2.59
Co 0.5000 0.5000 0.0000  2 Sb 2.59, 4 Ag 2.62
Co 0.2500 0.7500 0.5000  2 Sb 2.59, 4 Ag 2.62

E_form (uncorrected)	448.5	meV per atom
VASP energy	-3.784	eV/atom
space group	I-42d, No. 122
magnetization	0.39	μB/atom
crystal system	tetragonal

DFT (PBE-GGA) results for a geometry-optimized Gd2LuAl structure.

abc: 4.7757 4.7370 4.7370
angles: 90.00 90.00 90.00
Closest atoms and distances in Å follow each position.
Element x y z (fractional)
Gd 0.0000 0.0000 0.5000  4 Gd 3.35, 4 Al 3.36, 4 Lu 3.36
Gd 0.0000 0.5000 0.0000  4 Gd 3.35, 4 Al 3.36, 4 Lu 3.36
Lu 0.5000 0.5000 0.5000  4 Al 3.35, 8 Gd 3.36
Al 0.5000 0.0000 0.0000  4 Lu 3.35, 8 Gd 3.36

VASP energy	-9.302	eV/atom
space group	P4/mmm, No. 123
magnetization	3.81	μB/atom
crystal system	tetragonal

DFT (PBE-GGA) results for a geometry-optimized SrHfSe2Br structure.

abc: 5.2402 5.2402 5.1955
angles: 90.00 90.00 90.00
Closest atoms and distances in Å follow each position.
Element x y z (fractional)
Se 0.5000 0.0000 0.0000  2 Hf 2.62
Se 0.0000 0.5000 0.0000  2 Hf 2.62
Br 0.0000 0.0000 0.5000  2 Hf 2.60
Sr 0.5000 0.5000 0.5000  8 Se 3.69, 4 Br 3.71
Hf 0.0000 0.0000 0.0000  2 Br 2.60, 4 Se 2.62

E_form (uncorrected)	-1283.6	meV per atom
VASP energy	-5.339	eV/atom
space group	P4/mmm, No. 123
magnetization	0.00	μB/atom
crystal system	tetragonal

DFT (PBE-GGA) results for a geometry-optimized InIr3Cl structure.

abc: 4.4874 4.4874 4.4874
angles: 90.00 90.00 90.00
Closest atoms and distances in Å follow each position.
Element x y z (fractional)
Ir 0.0000 0.0000 0.5000  2 Cl 2.24
Ir 0.5000 0.0000 0.0000  2 Cl 2.24
Ir 0.0000 0.5000 0.0000  2 Cl 2.24
Cl 0.0000 0.0000 0.0000  6 Ir 2.24
In 0.5000 0.5000 0.5000  12 Ir 3.17

E_form (uncorrected)	1358.0	meV per atom
VASP energy	-4.876	eV/atom
space group	Pm-3m, No. 221
magnetization	0.00	μB/atom
crystal system	cubic

DFT (PBE-GGA) results for a geometry-optimized Er3P2Rh9Au structure.

abc: 6.0215 6.0215 9.3292
angles: 90.00 90.00 120.00
Closest atoms and distances in Å follow each position.
Element x y z (fractional)
Rh 0.8521 0.7042 0.7369  1 P 2.16
Rh 0.5000 0.5000 0.0000  2 P 2.30
Rh 0.2958 0.1479 0.7369  1 P 2.16
Rh 0.8521 0.1479 0.7369  1 P 2.16
Rh 0.0000 0.5000 0.0000  2 P 2.30
Rh 0.5000 0.0000 0.0000  2 P 2.30
Rh 0.1479 0.2958 0.2631  1 P 2.16
Rh 0.7042 0.8521 0.2631  1 P 2.16
Rh 0.1479 0.8521 0.2631  1 P 2.16
Er 0.3333 0.6667 0.7265  9 Rh 3.02-3.09
Er 0.6667 0.3333 0.2735  9 Rh 3.02-3.09
Er 0.0000 0.0000 0.0000  12 Rh 2.90-3.01
Au 0.0000 0.0000 0.5000  6 Rh 2.70
P 0.3333 0.6667 0.1608  6 Rh 2.16-2.30
P 0.6667 0.3333 0.8392  6 Rh 2.16-2.30

VASP energy	-6.803	eV/atom
space group	P-3m1, No. 164
magnetization	0.00	μB/atom
crystal system	trigonal

DFT (PBE-GGA) results for a geometry-optimized La2Nd7Y structure.

abc: 3.5248 15.2194 15.2195
angles: 154.11 90.00 90.00
Closest atoms and distances in Å follow each position.
Element x y z (fractional)
Nd 0.0000 0.1881 0.8119  6 Nd 3.52-3.61, 6 La 3.65-3.87
Nd 0.0000 0.8119 0.1881  6 Nd 3.52-3.61, 6 La 3.65-3.87
Nd 0.5000 0.8544 0.6583  7 Nd 3.32-3.61, 1 La 3.60
Nd 0.5000 0.1456 0.3417  7 Nd 3.32-3.61, 1 La 3.60
Nd 0.5000 0.5000 0.5000  6 Nd 3.39-3.52
Nd 0.5000 0.3417 0.1456  7 Nd 3.32-3.61, 1 La 3.60
Nd 0.5000 0.6583 0.8544  7 Nd 3.32-3.61, 1 La 3.60
La 0.5000 0.2960 0.7040  2 La 3.52, 8 Nd 3.60-3.87
La 0.5000 0.7040 0.2960  2 La 3.52, 8 Nd 3.60-3.87
Y 0.0000 0.0000 0.0000  2 Y 3.52, 12 Nd 3.79-3.84

VASP energy	-4.833	eV/atom
space group	Cmmm, No. 65
magnetization	0.00	μB/atom
crystal system	orthorhombic